Model A:
{
  "formula": "Te2MoI",
  "functional": "PBE",
  "state": "optimized geometry",
  "lattice": [[1.745, 1.008, 12.368], [-1.745, 1.008, 12.368], [0.000, -2.015, 12.368]],
  "species": ["Te", "Te", "Mo", "I"],
  "fractional_positions": [[0.116, 0.116, 0.116], [0.884, 0.884, 0.884], [0.500, 0.500, 0.500], [0.000, 0.000, 0.000]],
  "m_tot_mub_per_fu": 0.00,
  "sg": "R-3m",
  "mass_density_g_cm3": 6.08
}



Model B:
{
  "formula": "Te2MoI",
  "functional": "PBE",
  "state": "optimized geometry",
  "lattice": [[-3.734, 3.734, 5.478], [3.734, -3.734, 5.478], [3.734, 3.734, -5.478]],
  "species": ["Te", "Te", "Te", "Te", "Mo", "Mo", "I", "I"],
  "fractional_positions": [[0.023, 0.625, 0.898], [0.375, 0.273, 0.398], [0.727, 0.125, 0.102], [0.875, 0.977, 0.602], [0.000, 0.000, 0.000], [0.750, 0.250, 0.500], [0.250, 0.750, 0.500], [0.500, 0.500, 0.000]],
  "m_tot_mub_per_fu": 0.00,
  "sg": "I-42d",
  "mass_density_g_cm3": 5.20
}



Model C:
{
  "formula": "Te2MoI",
  "functional": "PBE",
  "state": "optimized geometry",
  "lattice": [[6.459, 0.000, 0.000], [0.000, 3.332, 0.000], [-0.002, 0.000, 11.653]],
  "species": ["Te", "Te", "Te", "Te", "Mo", "Mo", "I", "I"],
  "fractional_positions": [[0.067, 0.000, 0.369], [0.426, 0.000, 0.680], [0.574, 0.500, 0.320], [0.933, 0.500, 0.631], [0.318, 0.500, 0.508], [0.682, 0.000, 0.492], [0.249, 0.502, 0.000], [0.751, 0.002, 0.000]],
  "m_tot_mub_per_fu": 0.00,
  "sg": "P2_1",
  "mass_density_g_cm3": 6.33
}



Model D:
{
  "formula": "Te2MoI",
  "functional": "PBE",
  "state": "optimized geometry",
  "lattice": [[0.000, 3.703, 3.703], [3.703, 0.000, 3.703], [3.703, 3.703, 0.000]],
  "species": ["Te", "Te", "Mo", "I"],
  "fractional_positions": [[0.250, 0.250, 0.250], [0.750, 0.750, 0.750], [0.000, 0.000, 0.000], [0.500, 0.500, 0.500]],
  "m_tot_mub_per_fu": 1.99,
  "sg": "Fm-3m",
  "mass_density_g_cm3": 7.82
}



Ranking the structures above by energy, model C is first and the second is 118 meV/atom behind.